Crystalline Ba2Re2F at its relaxed geometry. Source: Alexandria via LeMat-Bulk, functional PBE.

Output
**Spin magnetization**: 0.0 Bohr magnetons per cell
**Offset from the most stable computed form**: 28.2 meV per atom

Unit cell a=6.2253 b=6.2253 c=5.7109 alpha=56.97 beta=56.97 gamma=90.00
Closest atoms and distances in Å follow each position.
Sites, in units of the cell vectors:
F  0.0000  0.0000  0.0000  2 Re 2.51
Ba  0.7500  0.2500  0.5000  4 Re 3.19
Re  0.3448  0.3448  0.3103  1 Re 2.26, 1 F 2.51
Ba  0.2500  0.7500  0.5000  4 Re 3.19
Re  0.6552  0.6552  0.6897  1 Re 2.26, 1 F 2.51